# Zn2NiPdPt5, relaxed, DFT GGA-PBE
data_Zn2NiPdPt5
_space_group_name_H-M_alt 'I 4/m c m'
_space_group_IT_number 140
_space_group_name_Hall '-I 4 2c'
_cell_length_a 6.252
_cell_length_b 6.252
_cell_length_c 14.626
_cell_angle_alpha 90.00
_cell_angle_beta 90.00
_cell_angle_gamma 90.00
loop_
_atom_site_label
_atom_site_type_symbol
_atom_site_fract_x
_atom_site_fract_y
_atom_site_fract_z
Zn1 Zn 0.130 0.370 0.000
Ni1 Ni 0.000 0.000 0.250
Pd1 Pd 0.000 0.500 0.250
Pt1 Pt 0.000 0.000 0.000
Pt2 Pt 0.240 0.260 0.353
# DFT total energy = -4.737 eV per atom
# DOS at the Fermi energy = 8.37 states/eV/f.u.
# Crystal system = tetragonal
# Calculated density = 14.77 Mg/m³

***

# Np2UMnN4, relaxed, DFT GGA-PBE
data_Np2UMnN4
_space_group_name_H-M_alt 'C m c m'
_space_group_IT_number 63
_space_group_name_Hall '-C 2c 2'
_cell_length_a 3.284
_cell_length_b 11.247
_cell_length_c 11.351
_cell_angle_alpha 90.00
_cell_angle_beta 90.00
_cell_angle_gamma 90.00
loop_
_atom_site_label
_atom_site_type_symbol
_atom_site_fract_x
_atom_site_fract_y
_atom_site_fract_z
Np1 Np 0.000 0.133 0.056
U1 U 0.000 0.392 0.250
Mn1 Mn 0.000 0.347 0.750
N1 N 0.000 0.045 0.250
N2 N 0.000 0.221 0.628
N3 N 0.000 0.500 0.000
# Formation energy from raw total energies = -990 meV per atom
# DOS at the Fermi energy = 11.17 states/eV/f.u.
# Crystal system = orthorhombic
# Calculated density = 13.04 Mg/m³

***

# CrH3Au, relaxed, DFT GGA-PBE
data_CrH3Au
_space_group_name_H-M_alt 'P m -3 m'
_space_group_IT_number 221
_space_group_name_Hall '-P 4 2 3'
_cell_length_a 3.490
_cell_length_b 3.490
_cell_length_c 3.490
_cell_angle_alpha 90.00
_cell_angle_beta 90.00
_cell_angle_gamma 90.00
loop_
_atom_site_label
_atom_site_type_symbol
_atom_site_fract_x
_atom_site_fract_y
_atom_site_fract_z
Cr1 Cr 0.000 0.000 0.000
H1 H 0.000 0.000 0.500
Au1 Au 0.500 0.500 0.500
# E above lowest polymorph = 0.000 eV per atom
# DOS at the Fermi energy = 1.63 states/eV/f.u.
# Crystal system = cubic
# Calculated density = 9.84 Mg/m³

***

# LiHf2NpN4, relaxed, DFT GGA-PBE
data_LiHf2NpN4
_space_group_name_H-M_alt 'I 4/m m m'
_space_group_IT_number 139
_space_group_name_Hall '-I 4 2'
_cell_length_a 4.523
_cell_length_b 4.523
_cell_length_c 9.303
_cell_angle_alpha 90.00
_cell_angle_beta 90.00
_cell_angle_gamma 90.00
loop_
_atom_site_label
_atom_site_type_symbol
_atom_site_fract_x
_atom_site_fract_y
_atom_site_fract_z
Li1 Li 0.000 0.000 0.000
Hf1 Hf 0.000 0.500 0.250
Np1 Np 0.000 0.000 0.500
N1 N 0.000 0.000 0.255
N2 N 0.000 0.500 0.000
# Formation energy from raw total energies = -1373 meV per atom
# DOS at the Fermi energy = 6.08 states/eV/f.u.
# Crystal system = tetragonal
# Calculated density = 11.46 Mg/m³

***

# Cs2YGe2S6, relaxed, DFT GGA-PBE
data_Cs2YGe2S6
_space_group_name_H-M_alt 'C 1 2/m 1'
_space_group_IT_number 12
_cell_length_a 12.608
_cell_length_b 7.278
_cell_length_c 8.865
_cell_angle_alpha 90.00
_cell_angle_beta 117.85
_cell_angle_gamma 90.00
loop_
_space_group_symop_operation_xyz
'x,y,z'
'-x,-y,-z'
'-x,y,-z'
'x,-y,z'
'x+1/2,y+1/2,z'
'-x+1/2,-y+1/2,-z'
'-x+1/2,y+1/2,-z'
'x+1/2,-y+1/2,z'
loop_
_atom_site_label
_atom_site_type_symbol
_atom_site_fract_x
_atom_site_fract_y
_atom_site_fract_z
Cs1 Cs 0.215 0.000 0.149
Y1 Y 0.000 0.000 0.500
Ge1 Ge 0.107 0.500 0.328
S1 S 0.002 0.245 0.265
S2 S 0.240 0.000 0.729
# Formation energy from raw total energies = -914 meV per atom
# DOS at the Fermi energy = 2.74 states/eV/f.u.
# Crystal system = monoclinic
# Calculated density = 3.20 Mg/m³

***

# CeTh7, relaxed, DFT GGA-PBE
data_CeTh7
_space_group_name_H-M_alt 'F m -3 m'
_space_group_IT_number 225
_space_group_name_Hall '-F 4 2 3'
_cell_length_a 10.023
_cell_length_b 10.023
_cell_length_c 10.023
_cell_angle_alpha 90.00
_cell_angle_beta 90.00
_cell_angle_gamma 90.00
loop_
_atom_site_label
_atom_site_type_symbol
_atom_site_fract_x
_atom_site_fract_y
_atom_site_fract_z
Ce1 Ce 0.000 0.000 0.000
Th1 Th 0.000 0.000 0.500
Th2 Th 0.000 0.250 0.250
# DFT total energy = -7.235 eV per atom
# DOS at the Fermi energy = 12.92 states/eV/f.u.
# Crystal system = cubic
# Calculated density = 11.64 Mg/m³

***

# V3Ru, relaxed, DFT GGA-PBE
data_V3Ru
_space_group_name_H-M_alt 'I 4/m m m'
_space_group_IT_number 139
_space_group_name_Hall '-I 4 2'
_cell_length_a 3.523
_cell_length_b 3.523
_cell_length_c 8.866
_cell_angle_alpha 90.00
_cell_angle_beta 90.00
_cell_angle_gamma 90.00
loop_
_atom_site_label
_atom_site_type_symbol
_atom_site_fract_x
_atom_site_fract_y
_atom_site_fract_z
V1 V 0.000 0.000 0.000
V2 V 0.000 0.500 0.250
Ru1 Ru 0.000 0.000 0.500
# DFT total energy = -9.226 eV per atom
# DOS at the Fermi energy = 3.22 states/eV/f.u.
# Crystal system = tetragonal
# Calculated density = 7.66 Mg/m³

***

# SiCF2, relaxed, DFT GGA-PBE
data_SiCF2
_space_group_name_H-M_alt 'F m -3 m'
_space_group_IT_number 225
_space_group_name_Hall '-F 4 2 3'
_cell_length_a 5.682
_cell_length_b 5.682
_cell_length_c 5.682
_cell_angle_alpha 90.00
_cell_angle_beta 90.00
_cell_angle_gamma 90.00
loop_
_atom_site_label
_atom_site_type_symbol
_atom_site_fract_x
_atom_site_fract_y
_atom_site_fract_z
Si1 Si 0.000 0.000 0.000
C1 C 0.000 0.000 0.500
F1 F 0.250 0.250 0.250
# Formation energy from raw total energies = 828 meV per atom
# E above lowest polymorph = 0.740 eV per atom
# DOS at the Fermi energy = 1.71 states/eV/f.u.
# Crystal system = cubic
# Calculated density = 2.83 Mg/m³

***

Please write out number 7 again, unchanged.
# V3Ru, relaxed, DFT GGA-PBE
data_V3Ru
_space_group_name_H-M_alt 'I 4/m m m'
_space_group_IT_number 139
_space_group_name_Hall '-I 4 2'
_cell_length_a 3.523
_cell_length_b 3.523
_cell_length_c 8.866
_cell_angle_alpha 90.00
_cell_angle_beta 90.00
_cell_angle_gamma 90.00
loop_
_atom_site_label
_atom_site_type_symbol
_atom_site_fract_x
_atom_site_fract_y
_atom_site_fract_z
V1 V 0.000 0.000 0.000
V2 V 0.000 0.500 0.250
Ru1 Ru 0.000 0.000 0.500
# DFT total energy = -9.226 eV per atom
# DOS at the Fermi energy = 3.22 states/eV/f.u.
# Crystal system = tetragonal
# Calculated density = 7.66 Mg/m³

***

> Among the records above, which one has the lowest calculated density?

SiCF2

***

> Look up the DOS at the Fermi energy of the eighth one.

1.71 states/eV/f.u.